This record from OQMD via LeMat-Bulk describes a relaxed NdMg3 crystal. The functional is PBE-GGA.

a = 7.4212 Å, b = 7.4212 Å, c = 7.4212 Å
α = 90.00°, β = 90.00°, γ = 90.00°
Space group Fm-3m (No. 225)
Asymmetric unit:
Nd 0.0000 0.0000 0.0000 x4
Mg 0.0000 0.0000 0.5000 x4
Mg 0.2500 0.2500 0.2500 x8

---

This record from OQMD via LeMat-Bulk describes a relaxed PrZnMo crystal. The functional is PBE-GGA.

Calculated formation energy (kcal/mol of atoms): 16.50
Energy above the lowest structure with this stoichiometry (eV per atom): 0.000

a = 6.5887 Å, b = 6.5887 Å, c = 6.5887 Å
α = 90.00°, β = 90.00°, γ = 90.00°
Space group F-43m (No. 216)
Asymmetric unit:
Pr 0.0000 0.0000 0.0000 x4
Zn 0.2500 0.2500 0.7500 x4
Mo 0.0000 0.0000 0.5000 x4

---

This record from OQMD via LeMat-Bulk describes a relaxed CdGePO crystal. The functional is PBE-GGA.

Energy above the lowest structure with this stoichiometry (eV per atom): 0.269

a = 3.8973 Å, b = 3.8973 Å, c = 9.2299 Å
α = 90.00°, β = 90.00°, γ = 90.00°
Space group P4/nmm (No. 129, origin choice 2)
Asymmetric unit:
Cd 0.2500 0.7500 0.0000 x2
Ge 0.2500 0.2500 0.3971 x2
P 0.2500 0.2500 0.8060 x2
O 0.2500 0.7500 0.5000 x2

---

This record from OQMD via LeMat-Bulk describes a relaxed NaNdSc crystal. The functional is PBE-GGA.

Energy above the lowest structure with this stoichiometry (eV per atom): 0.000

a = 7.3733 Å, b = 7.3733 Å, c = 7.3733 Å
α = 90.00°, β = 90.00°, γ = 90.00°
Space group F-43m (No. 216)
Asymmetric unit:
Na 0.0000 0.0000 0.0000 x4
Nd 0.2500 0.2500 0.7500 x4
Sc 0.2500 0.2500 0.2500 x4

---

Number 1: mass density 3.529 g/cm³, energy -2.47 eV per atom. Number 2: mass density 7.019 g/cm³, energy -4.91 eV per atom. Number 3: mass density 5.496 g/cm³, energy -4.15 eV per atom. Number 4: mass density 3.516 g/cm³, energy -3.31 eV per atom.